Computed, not measured: a relaxed structure of Ho3InO6 at the GGA-PBE level of DFT.

Energy above the most stable polymorph in this dataset: 0 meV per atom
Crystal system: trigonal
Volume: 14.62 A^3/atom
ΔE_f (raw): -3.097 eV per atom

Unit cell a=6.6415 b=6.6415 c=6.6415 alpha=91.90 beta=91.90 gamma=91.90
With the nearest neighbours (Å) after each atom.
Atoms (fractional coordinates):
Ho  0.0592  0.7524  0.5674  6 O 2.22-2.34
Ho  0.2476  0.4326  0.9408  6 O 2.22-2.34
Ho  0.4326  0.9408  0.2476  6 O 2.22-2.34
Ho  0.5674  0.0592  0.7524  6 O 2.22-2.34
Ho  0.7524  0.5674  0.0592  6 O 2.22-2.34
Ho  0.9408  0.2476  0.4326  6 O 2.22-2.34
In  0.0000  0.0000  0.0000  6 O 2.19
In  0.5000  0.5000  0.5000  6 O 2.23
O  0.0323  0.6858  0.9013  1 In 2.19, 3 Ho 2.26-2.29
O  0.0987  0.9677  0.3142  1 In 2.19, 3 Ho 2.26-2.29
O  0.1868  0.4291  0.5920  3 Ho 2.22-2.34, 1 In 2.23
O  0.3142  0.0987  0.9677  1 In 2.19, 3 Ho 2.26-2.29
O  0.4080  0.8132  0.5709  3 Ho 2.22-2.34, 1 In 2.23
O  0.4291  0.5920  0.1868  3 Ho 2.22-2.34, 1 In 2.23
O  0.5709  0.4080  0.8132  3 Ho 2.22-2.34, 1 In 2.23
O  0.5920  0.1868  0.4291  3 Ho 2.22-2.34, 1 In 2.23
O  0.6858  0.9013  0.0323  1 In 2.19, 3 Ho 2.26-2.29
O  0.8132  0.5709  0.4080  3 Ho 2.22-2.34, 1 In 2.23
O  0.9013  0.0323  0.6858  1 In 2.19, 3 Ho 2.26-2.29
O  0.9677  0.3142  0.0987  1 In 2.19, 3 Ho 2.26-2.29